Record 1
# Mn2Re3

An optimized crystal structure of Mn2Re3 (PBE-GGA, Alexandria via LeMat-Bulk).

Summary:
Formation energy from the elements   126 meV/atom
Total energy   -11.011 eV per atom
Space-group type   Fdd2 (43)

abc: 6.7596 5.1532 7.8276
angles: 58.51 40.55 80.94
With the nearest neighbours (Å) after each atom.
Sites, in units of the cell vectors:
Mn 0.0219 0.4781 0.0747  8 Re 2.53-2.81, 2 Mn 2.69
Mn 0.1753 0.8247 0.2281  8 Re 2.53-2.81, 2 Mn 2.69
Mn 0.4781 0.0219 0.4253  8 Re 2.53-2.81, 2 Mn 2.69
Mn 0.8247 0.1753 0.7719  8 Re 2.53-2.81, 2 Mn 2.69
Re 0.0463 0.0463 0.9537  6 Mn 2.55-2.78, 6 Re 2.68-2.81
Re 0.2963 0.2963 0.2037  6 Mn 2.55-2.78, 6 Re 2.68-2.81
Re 0.4858 0.5831 0.3075  5 Mn 2.53-2.81, 6 Re 2.63-2.81
Re 0.5831 0.4858 0.6236  5 Mn 2.53-2.81, 6 Re 2.63-2.81
Re 0.6264 0.9425 0.6669  5 Mn 2.53-2.81, 6 Re 2.63-2.81
Re 0.9425 0.6264 0.7642  5 Mn 2.53-2.81, 6 Re 2.63-2.81

---

Record 2
# ScCu2Ni

An optimized crystal structure of ScCu2Ni (PBE-GGA, Alexandria via LeMat-Bulk).

Summary:
Formation energy from the elements   -147 meV/atom
Total energy   -5.223 eV per atom
Space-group type   Pmmm (47)

abc: 2.9749 3.5869 5.2376
angles: 90.00 90.00 90.00
With the nearest neighbours (Å) after each atom.
Sites, in units of the cell vectors:
Sc 0.0000 0.0000 0.0000  2 Ni 2.62, 8 Cu 2.73
Cu 0.5000 0.5000 0.2715  1 Cu 2.39, 4 Ni 2.62
Cu 0.5000 0.5000 0.7285  1 Cu 2.39, 4 Ni 2.62
Ni 0.0000 0.0000 0.5000  2 Sc 2.62, 8 Cu 2.62

---

Record 3
# TaTc2Br

An optimized crystal structure of TaTc2Br (PBE-GGA, Alexandria via LeMat-Bulk).

Summary:
Total energy   -8.212 eV per atom
Space-group type   R3m (160)

abc: 2.9545 2.9545 26.9218
angles: 90.00 90.00 120.00
With the nearest neighbours (Å) after each atom.
Sites, in units of the cell vectors:
Ta 0.0000 0.0000 0.0000  3 Br 2.69, 3 Tc 2.92, 6 Ta 2.95
Ta 0.3333 0.6667 0.6667  3 Br 2.69, 3 Tc 2.92, 6 Ta 2.95
Ta 0.6667 0.3333 0.3333  3 Br 2.69, 3 Tc 2.92, 6 Ta 2.95
Tc 0.0000 0.0000 0.2453  3 Tc 2.61, 3 Ta 2.92
Tc 0.0000 0.0000 0.5051  3 Tc 2.61
Tc 0.3333 0.6667 0.1718  3 Tc 2.61
Tc 0.3333 0.6667 0.9120  3 Tc 2.61, 3 Ta 2.92
Tc 0.6667 0.3333 0.5786  3 Tc 2.61, 3 Ta 2.92
Tc 0.6667 0.3333 0.8385  3 Tc 2.61
Br 0.0000 0.0000 0.7441  3 Ta 2.69, 6 Br 2.95
Br 0.3333 0.6667 0.4108  3 Ta 2.69, 6 Br 2.95
Br 0.6667 0.3333 0.0775  3 Ta 2.69, 6 Br 2.95

---

Record 4
# TlAgBBr2

An optimized crystal structure of TlAgBBr2 (PBE-GGA, Alexandria via LeMat-Bulk).

Summary:
Total energy   -2.747 eV per atom
Space-group type   P4/mmm (123)

abc: 5.4757 5.4757 4.3324
angles: 90.00 90.00 90.00
With the nearest neighbours (Å) after each atom.
Sites, in units of the cell vectors:
Tl 0.0000 0.0000 0.0000  8 Br 3.49, 4 Ag 3.87
Ag 0.5000 0.5000 0.0000  2 B 2.17
B 0.5000 0.5000 0.5000  2 Ag 2.17
Br 0.0000 0.5000 0.5000  2 B 2.74
Br 0.5000 0.0000 0.5000  2 B 2.74